{"formula": "VO2", "functional": "PBE with a Hubbard U", "state": "optimized geometry", "cell": [[-1.071, 2.076, -2.273], [-0.063, -3.209, -0.565], [-9.946, -0.542, 4.190]], "species": ["V", "V", "O", "O", "O", "O"], "frac_coords": [[0.667, 0.333, 0.750], [0.333, 0.667, 0.250], [0.333, 0.667, 0.406], [0.667, 0.333, 0.906], [0.333, 0.667, 0.094], [0.667, 0.333, 0.594]], "sg": "P6_3/mmc (194)", "n_ef_per_ev_fu": 2.815, "energy_ev_per_atom": -5.531}